Entry P
# NiTeSe2N, relaxed, DFT PBE
# - ρ (g/cm³) = 6.61
# - V (Å³/atom) = 17.99
# - spin magnetization (μB/cell) = 0.00
data_NiTeSe2N
_cell_length_a 5.0593
_cell_length_b 5.0593
_cell_length_c 3.5140
_cell_angle_alpha 90.00
_cell_angle_beta 90.00
_cell_angle_gamma 90.00
_symmetry_space_group_name_H-M 'P 4/m m m'
_symmetry_Int_Tables_number 123
_symmetry_space_group_name_Hall '-P 4 2'
loop_
_atom_site_label
_atom_site_type_symbol
_atom_site_fract_x
_atom_site_fract_y
_atom_site_fract_z
Ni1 Ni 0.0000 0.0000 0.0000
Te1 Te 0.5000 0.5000 0.5000
Se1 Se 0.0000 0.5000 0.0000
N1 N 0.0000 0.0000 0.5000

Entry Q
# NiTeSe2N, relaxed, DFT PBE
# - ρ (g/cm³) = 5.31
# - V (Å³/atom) = 22.39
# - spin magnetization (μB/cell) = 1.73
data_NiTeSe2N
_cell_length_a 5.3658
_cell_length_b 5.3658
_cell_length_c 3.8884
_cell_angle_alpha 90.00
_cell_angle_beta 90.00
_cell_angle_gamma 90.00
_symmetry_space_group_name_H-M 'P 4/m m m'
_symmetry_Int_Tables_number 123
_symmetry_space_group_name_Hall '-P 4 2'
loop_
_atom_site_label
_atom_site_type_symbol
_atom_site_fract_x
_atom_site_fract_y
_atom_site_fract_z
Ni1 Ni 0.0000 0.0000 0.0000
Te1 Te 0.5000 0.5000 0.5000
Se1 Se 0.0000 0.5000 0.5000
N1 N 0.5000 0.5000 0.0000

The data favor entry P; the next most stable structure lies 776 meV/atom above it.

Entry P
# TiNiSeN2, relaxed, DFT PBE
# - ρ (g/cm³) = 5.49
# - V (Å³/atom) = 12.92
# - spin magnetization (μB/cell) = 0.00
data_TiNiSeN2
_cell_length_a 3.7250
_cell_length_b 3.7250
_cell_length_c 4.6540
_cell_angle_alpha 90.00
_cell_angle_beta 90.00
_cell_angle_gamma 90.00
_symmetry_space_group_name_H-M 'P 4/m m m'
_symmetry_Int_Tables_number 123
_symmetry_space_group_name_Hall '-P 4 2'
loop_
_atom_site_label
_atom_site_type_symbol
_atom_site_fract_x
_atom_site_fract_y
_atom_site_fract_z
Ti1 Ti 0.0000 0.0000 0.0000
Ni1 Ni 0.5000 0.5000 0.5000
Se1 Se 0.5000 0.5000 0.0000
N1 N 0.0000 0.5000 0.5000

Entry Q
# TiNiSeN2, relaxed, DFT PBE
# - ρ (g/cm³) = 4.50
# - V (Å³/atom) = 15.76
# - spin magnetization (μB/cell) = 1.18
data_TiNiSeN2
_cell_length_a 3.7867
_cell_length_b 3.7867
_cell_length_c 5.4970
_cell_angle_alpha 90.00
_cell_angle_beta 90.00
_cell_angle_gamma 90.00
_symmetry_space_group_name_H-M 'P 4/m m m'
_symmetry_Int_Tables_number 123
_symmetry_space_group_name_Hall '-P 4 2'
loop_
_atom_site_label
_atom_site_type_symbol
_atom_site_fract_x
_atom_site_fract_y
_atom_site_fract_z
Ti1 Ti 0.0000 0.0000 0.0000
Ni1 Ni 0.5000 0.5000 0.5000
Se1 Se 0.0000 0.0000 0.5000
N1 N 0.0000 0.5000 0.0000

The data favor entry Q; the next most stable structure lies 270 meV/atom above it.

Entry P
# TiNiSe2N, relaxed, DFT PBE
# - ρ (g/cm³) = 4.91
# - V (Å³/atom) = 18.82
# - spin magnetization (μB/cell) = 0.61
data_TiNiSe2N
_cell_length_a 5.0389
_cell_length_b 5.0389
_cell_length_c 3.7057
_cell_angle_alpha 90.00
_cell_angle_beta 90.00
_cell_angle_gamma 90.00
_symmetry_space_group_name_H-M 'P 4/m m m'
_symmetry_Int_Tables_number 123
_symmetry_space_group_name_Hall '-P 4 2'
loop_
_atom_site_label
_atom_site_type_symbol
_atom_site_fract_x
_atom_site_fract_y
_atom_site_fract_z
Ti1 Ti 0.0000 0.0000 0.0000
Ni1 Ni 0.5000 0.5000 0.5000
Se1 Se 0.0000 0.5000 0.0000
N1 N 0.0000 0.0000 0.5000

Entry Q
# TiNiSe2N, relaxed, DFT PBE
# - ρ (g/cm³) = 5.67
# - V (Å³/atom) = 16.31
# - spin magnetization (μB/cell) = 0.23
data_TiNiSe2N
_cell_length_a 4.8729
_cell_length_b 4.8729
_cell_length_c 3.4353
_cell_angle_alpha 90.00
_cell_angle_beta 90.00
_cell_angle_gamma 90.00
_symmetry_space_group_name_H-M 'P 4/m m m'
_symmetry_Int_Tables_number 123
_symmetry_space_group_name_Hall '-P 4 2'
loop_
_atom_site_label
_atom_site_type_symbol
_atom_site_fract_x
_atom_site_fract_y
_atom_site_fract_z
Ti1 Ti 0.0000 0.0000 0.0000
Ni1 Ni 0.5000 0.5000 0.5000
Se1 Se 0.0000 0.5000 0.5000
N1 N 0.5000 0.5000 0.0000

The data favor entry Q; the next most stable structure lies 17 meV/atom above it.

Entry P
# VNiSe2N, relaxed, DFT PBE
# - ρ (g/cm³) = 5.43
# - V (Å³/atom) = 17.22
# - spin magnetization (μB/cell) = 0.66
data_VNiSe2N
_cell_length_a 4.9137
_cell_length_b 4.9137
_cell_length_c 3.5669
_cell_angle_alpha 90.00
_cell_angle_beta 90.00
_cell_angle_gamma 90.00
_symmetry_space_group_name_H-M 'P 4/m m m'
_symmetry_Int_Tables_number 123
_symmetry_space_group_name_Hall '-P 4 2'
loop_
_atom_site_label
_atom_site_type_symbol
_atom_site_fract_x
_atom_site_fract_y
_atom_site_fract_z
V1 V 0.0000 0.0000 0.0000
Ni1 Ni 0.5000 0.5000 0.5000
Se1 Se 0.0000 0.5000 0.0000
N1 N 0.0000 0.0000 0.5000

Entry Q
# VNiSe2N, relaxed, DFT PBE
# - ρ (g/cm³) = 5.78
# - V (Å³/atom) = 16.19
# - spin magnetization (μB/cell) = 0.20
data_VNiSe2N
_cell_length_a 4.8896
_cell_length_b 4.8896
_cell_length_c 3.3857
_cell_angle_alpha 90.00
_cell_angle_beta 90.00
_cell_angle_gamma 90.00
_symmetry_space_group_name_H-M 'P 4/m m m'
_symmetry_Int_Tables_number 123
_symmetry_space_group_name_Hall '-P 4 2'
loop_
_atom_site_label
_atom_site_type_symbol
_atom_site_fract_x
_atom_site_fract_y
_atom_site_fract_z
V1 V 0.0000 0.0000 0.0000
Ni1 Ni 0.5000 0.5000 0.5000
Se1 Se 0.0000 0.5000 0.5000
N1 N 0.5000 0.5000 0.0000

The data favor entry P; the next most stable structure lies 283 meV/atom above it.

Entry P
# ZnNiSeN2, relaxed, DFT PBE
# - ρ (g/cm³) = 5.36
# - V (Å³/atom) = 14.33
# - spin magnetization (μB/cell) = 1.96
data_ZnNiSeN2
_cell_length_a 3.6545
_cell_length_b 3.6545
_cell_length_c 5.3643
_cell_angle_alpha 90.00
_cell_angle_beta 90.00
_cell_angle_gamma 90.00
_symmetry_space_group_name_H-M 'P 4/m m m'
_symmetry_Int_Tables_number 123
_symmetry_space_group_name_Hall '-P 4 2'
loop_
_atom_site_label
_atom_site_type_symbol
_atom_site_fract_x
_atom_site_fract_y
_atom_site_fract_z
Zn1 Zn 0.0000 0.0000 0.0000
Ni1 Ni 0.5000 0.5000 0.5000
Se1 Se 0.5000 0.5000 0.0000
N1 N 0.0000 0.5000 0.5000

Entry Q
# ZnNiSeN2, relaxed, DFT PBE
# - ρ (g/cm³) = 4.79
# - V (Å³/atom) = 16.02
# - spin magnetization (μB/cell) = 4.06
data_ZnNiSeN2
_cell_length_a 3.7387
_cell_length_b 3.7387
_cell_length_c 5.7306
_cell_angle_alpha 90.00
_cell_angle_beta 90.00
_cell_angle_gamma 90.00
_symmetry_space_group_name_H-M 'P 4/m m m'
_symmetry_Int_Tables_number 123
_symmetry_space_group_name_Hall '-P 4 2'
loop_
_atom_site_label
_atom_site_type_symbol
_atom_site_fract_x
_atom_site_fract_y
_atom_site_fract_z
Zn1 Zn 0.0000 0.0000 0.0000
Ni1 Ni 0.5000 0.5000 0.5000
Se1 Se 0.0000 0.0000 0.5000
N1 N 0.0000 0.5000 0.0000

The data favor entry P; the next most stable structure lies 564 meV/atom above it.

Entry P
# Si2NiN2, relaxed, DFT PBE
# - ρ (g/cm³) = 4.20
# - V (Å³/atom) = 11.30
# - spin magnetization (μB/cell) = 0.00
data_Si2NiN2
_cell_length_a 6.1551
_cell_length_b 6.1551
_cell_length_c 2.9832
_cell_angle_alpha 90.00
_cell_angle_beta 90.00
_cell_angle_gamma 90.00
_symmetry_space_group_name_H-M 'P 4/m b m'
_symmetry_Int_Tables_number 127
_symmetry_space_group_name_Hall '-P 4 2ab'
loop_
_atom_site_label
_atom_site_type_symbol
_atom_site_fract_x
_atom_site_fract_y
_atom_site_fract_z
Si1 Si 0.1346 0.3654 0.0000
Ni1 Ni 0.0000 0.0000 0.5000
N1 N 0.2282 0.2718 0.5000

Entry Q
# Si2NiN2, relaxed, DFT PBE
# - ρ (g/cm³) = 4.40
# - V (Å³/atom) = 10.79
# - spin magnetization (μB/cell) = 0.00
data_Si2NiN2
_cell_length_a 3.8403
_cell_length_b 3.8403
_cell_length_c 7.3166
_cell_angle_alpha 90.00
_cell_angle_beta 90.00
_cell_angle_gamma 90.00
_symmetry_space_group_name_H-M 'I 4/m m m'
_symmetry_Int_Tables_number 139
_symmetry_space_group_name_Hall '-I 4 2'
loop_
_atom_site_label
_atom_site_type_symbol
_atom_site_fract_x
_atom_site_fract_y
_atom_site_fract_z
Si1 Si 0.0000 0.5000 0.2500
Ni1 Ni 0.0000 0.0000 0.0000
N1 N 0.0000 0.0000 0.2602

The data favor entry P; the next most stable structure lies 142 meV/atom above it.